1.
SmEr2Cu4Sn2Ge2 after structural relaxation, computed with PBE-GGA.

```
data_SmEr2Cu4Sn2Ge2
_symmetry_space_group_name_H-M 'I m m m'
_symmetry_Int_Tables_number 71
_symmetry_space_group_name_Hall '-I 2 2'
_cell_length_a 4.273
_cell_length_b 6.998
_cell_length_c 14.270
_cell_angle_alpha 90.00
_cell_angle_beta 90.00
_cell_angle_gamma 90.00
loop_
_atom_site_label
_atom_site_type_symbol
_atom_site_fract_x
_atom_site_fract_y
_atom_site_fract_z
_atom_site_occupancy
Sm1 Sm 0.000 0.000 0.000 1
Er1 Er 0.000 0.500 0.135 1
Cu1 Cu 0.000 0.312 0.323 1
Sn1 Sn 0.000 0.199 0.500 1
Ge1 Ge 0.000 0.000 0.218 1
```

***

2.
ReBiAu2 after structural relaxation, computed with PBE-GGA.

```
data_ReBiAu2
_symmetry_space_group_name_H-M 'F -4 3 m'
_symmetry_Int_Tables_number 216
_symmetry_space_group_name_Hall 'F -4 2 3'
_cell_length_a 6.755
_cell_length_b 6.755
_cell_length_c 6.755
_cell_angle_alpha 90.00
_cell_angle_beta 90.00
_cell_angle_gamma 90.00
loop_
_atom_site_label
_atom_site_type_symbol
_atom_site_fract_x
_atom_site_fract_y
_atom_site_fract_z
_atom_site_occupancy
Re1 Re 0.000 0.000 0.000 1
Bi1 Bi 0.250 0.250 0.750 1
Au1 Au 0.000 0.000 0.500 1
Au2 Au 0.250 0.250 0.250 1
```

***

| no. | electronic total energy (eV/cell) |
| --- | --- |
| 1 | -103.3 |
| 2 | -79.5 |